# 1
GaBi3Pb6 | the Alexandria database | PBE | optimized geometry; total energy = -3.5915 eV/atom; energy above the lowest structure with this stoichiometry = 46 meV/atom; SG = P2_1/m (11); energy of formation from the pure elements = 100 meV/atom
1.0
12.4504 0.0000 0.0000
0.0000 4.5227 0.0000
-5.6672 0.0000 12.1776
Ga Bi Pb
2 6 12
Direct
0.2060 0.2500 0.0269
0.7940 0.7500 0.9731
0.0502 0.7500 0.3401
0.2978 0.2500 0.3882
0.4110 0.7500 0.8015
0.5890 0.2500 0.1985
0.7022 0.7500 0.6118
0.9498 0.2500 0.6599
0.0212 0.7500 0.9003
0.1283 0.2500 0.5269
0.2176 0.7500 0.1801
0.2313 0.2500 0.8149
0.3987 0.7500 0.0469
0.4287 0.7500 0.5645
0.5713 0.2500 0.4355
0.6013 0.2500 0.9531
0.7687 0.7500 0.1851
0.7824 0.2500 0.8199
0.8717 0.7500 0.4731
0.9788 0.2500 0.0997

---

# 2
Ca3Al2Pd5 | the Alexandria database | PBE | optimized geometry; total energy = -4.6885 eV/atom; SG = P4/mbm (127); energy of formation from the pure elements = -743 meV/atom
1.0
10.2680 0.0000 0.0000
0.0000 10.2680 0.0000
0.0000 0.0000 3.7548
Ca Al Pd
6 4 10
Direct
0.0000 0.0000 0.0000
0.1778 0.3222 0.0000
0.3222 0.8222 0.0000
0.5000 0.5000 0.0000
0.6778 0.1778 0.0000
0.8222 0.6778 0.0000
0.1168 0.6168 0.0000
0.3832 0.1168 0.0000
0.6168 0.8832 0.0000
0.8832 0.3832 0.0000
0.0000 0.5000 0.5000
0.0706 0.7770 0.5000
0.2230 0.0706 0.5000
0.2770 0.5706 0.5000
0.4294 0.2770 0.5000
0.5000 0.0000 0.5000
0.5706 0.7230 0.5000
0.7230 0.4294 0.5000
0.7770 0.9294 0.5000
0.9294 0.2230 0.5000

---

# 3
CrPd4Pt3 | the Alexandria database | PBE | optimized geometry; total energy = -5.8875 eV/atom; energy above the lowest structure with this stoichiometry = 180 meV/atom; SG = C2/m (12); energy of formation from the pure elements = 177 meV/atom
1.0
10.8907 -1.3689 0.0000
10.8907 1.3689 0.0000
-0.5085 0.0000 4.5292
Cr Pd Pt
1 4 3
Direct
0.0000 0.0000 0.0000
0.1003 0.1003 0.7397
0.1681 0.1681 0.2741
0.8319 0.8319 0.7259
0.8997 0.8997 0.2603
0.2888 0.2888 0.2169
0.5000 0.5000 0.5000
0.7112 0.7112 0.7831

---

# 4
CuRuI2 | the Alexandria database | PBE | optimized geometry; total energy = -3.6116 eV/atom; raw formation energy = 0.506 eV per atom; energy above the lowest structure with this stoichiometry = 0 meV/atom; SG = I-42d (122)
1.0
-3.0149 3.0149 5.9971
3.0149 -3.0149 5.9971
3.0149 3.0149 -5.9971
Cu Ru I
2 2 4
Direct
0.0000 0.0000 0.0000
0.7500 0.2500 0.5000
0.2500 0.7500 0.5000
0.5000 0.5000 0.0000
0.1276 0.6250 0.0026
0.3750 0.3776 0.5026
0.6224 0.1250 0.9974
0.8750 0.8724 0.4974

---

# 5
TaW2N | the Alexandria database | PBE | optimized geometry; total energy = -11.7050 eV/atom; raw formation energy = -0.184 eV per atom; SG = Cm (8)
1.0
5.0374 -1.5431 0.0000
5.0374 1.5431 0.0000
-2.9351 0.0000 7.1403
Ta W N
2 4 2
Direct
0.0000 0.0000 0.0000
0.6900 0.6900 0.8466
0.0236 0.0236 0.4551
0.3500 0.3500 0.1723
0.3610 0.3610 0.6297
0.6913 0.6913 0.2980
0.0224 0.0224 0.7289
0.6927 0.6927 0.5698

---

# 6
ReIrAu | the Alexandria database | PBE | optimized geometry; total energy = -7.7166 eV/atom; energy above the lowest structure with this stoichiometry = 343 meV/atom; SG = P-6m2 (187); energy of formation from the pure elements = 479 meV/atom
1.0
4.4827 0.0000 0.0000
-2.2414 3.8822 0.0000
0.0000 0.0000 2.7105
Re Ir Au
1 1 1
Direct
0.0000 0.0000 0.0000
0.3333 0.6667 0.5000
0.6667 0.3333 0.5000

---

# 7
U4Ti6O19 | the Alexandria database | PBE | optimized geometry; total energy = -9.4031 eV/atom; raw formation energy = -2.964 eV per atom; SG = I23 (197)
1.0
-4.4483 4.4483 4.4483
4.4483 -4.4483 4.4483
4.4483 4.4483 -4.4483
U Ti O
4 6 19
Direct
0.0000 0.0000 0.6992
0.0000 0.6992 0.0000
0.3008 0.3008 0.3008
0.6992 0.0000 0.0000
0.1514 0.6514 0.5000
0.3486 0.5000 0.8486
0.5000 0.1514 0.6514
0.5000 0.8486 0.3486
0.6514 0.5000 0.1514
0.8486 0.3486 0.5000
0.0000 0.0000 0.0000
0.0000 0.3191 0.3191
0.0000 0.6809 0.6809
0.0344 0.2640 0.6514
0.2296 0.9656 0.6170
0.2640 0.6514 0.0344
0.3191 0.0000 0.3191
0.3191 0.3191 0.0000
0.3486 0.6126 0.3830
0.3830 0.3486 0.6126
0.3874 0.7360 0.7704
0.6126 0.3830 0.3486
0.6170 0.2296 0.9656
0.6514 0.0344 0.2640
0.6809 0.0000 0.6809
0.6809 0.6809 0.0000
0.7360 0.7704 0.3874
0.7704 0.3874 0.7360
0.9656 0.6170 0.2296

---

# 8
Zn2Cd2Pb | the Alexandria database | PBE | optimized geometry; total energy = -1.4985 eV/atom; energy above the lowest structure with this stoichiometry = 20 meV/atom; SG = I4/mmm (139); energy of formation from the pure elements = 119 meV/atom
1.0
-2.0386 2.0386 6.8485
2.0386 -2.0386 6.8485
2.0386 2.0386 -6.8485
Zn Cd Pb
2 2 1
Direct
0.2500 0.7500 0.5000
0.7500 0.2500 0.5000
0.1092 0.1092 0.0000
0.8908 0.8908 0.0000
0.5000 0.5000 0.0000

---

# 9
CeSc2Pb | the Alexandria database | PBE | optimized geometry; total energy = -5.7185 eV/atom; energy above the lowest structure with this stoichiometry = 96 meV/atom; SG = P4/mmm (123); energy of formation from the pure elements = -142 meV/atom
1.0
3.5079 0.0000 0.0000
0.0000 3.5079 0.0000
0.0000 0.0000 8.3467
Ce Sc Pb
1 2 1
Direct
0.0000 0.0000 0.0000
0.5000 0.5000 0.2634
0.5000 0.5000 0.7366
0.0000 0.0000 0.5000

---

# 10
SrAsRu2 | the Alexandria database | PBE | optimized geometry; total energy = -5.7176 eV/atom; SG = I-4m2 (119); energy of formation from the pure elements = 503 meV/atom
1.0
-2.1579 2.1579 3.9759
2.1579 -2.1579 3.9759
2.1579 2.1579 -3.9759
Sr As Ru
1 1 2
Direct
0.0000 0.0000 0.0000
0.2500 0.7500 0.5000
0.5000 0.5000 0.0000
0.7500 0.2500 0.5000

---

# 11
ReGeW2Cl | the Alexandria database | PBE | optimized geometry; total energy = -6.6782 eV/atom; raw formation energy = 2.285 eV per atom; SG = P4/mmm (123)
1.0
4.7213 0.0000 0.0000
0.0000 4.7213 0.0000
0.0000 0.0000 4.5852
Re Ge W Cl
1 1 2 1
Direct
0.0000 0.0000 0.0000
0.0000 0.0000 0.5000
0.0000 0.5000 0.5000
0.5000 0.0000 0.5000
0.5000 0.5000 0.0000

---

# 12
Zr2ZnB2Rh5 | the Alexandria database | PBE | optimized geometry; total energy = -7.6096 eV/atom; SG = P4/mbm (127); energy of formation from the pure elements = -761 meV/atom
1.0
9.2956 0.0000 0.0000
0.0000 9.2956 0.0000
0.0000 0.0000 3.1778
Zr Zn B Rh
4 2 4 10
Direct
0.1760 0.3240 0.0000
0.3240 0.8240 0.0000
0.6760 0.1760 0.0000
0.8240 0.6760 0.0000
0.0000 0.0000 0.0000
0.5000 0.5000 0.0000
0.1241 0.6241 0.0000
0.3759 0.1241 0.0000
0.6241 0.8759 0.0000
0.8759 0.3759 0.0000
0.0000 0.5000 0.5000
0.0706 0.7824 0.5000
0.2176 0.0706 0.5000
0.2824 0.5706 0.5000
0.4294 0.2824 0.5000
0.5000 0.0000 0.5000
0.5706 0.7176 0.5000
0.7176 0.4294 0.5000
0.7824 0.9294 0.5000
0.9294 0.2176 0.5000

---

Number 1: Fermi-level density of states 0.4512 states/eV/atom. Number 2: Fermi-level density of states 0.2528 states/eV/atom. Number 3: Fermi-level density of states 1.5472 states/eV/atom. Number 4: Fermi-level density of states 0.7731 states/eV/atom. Number 5: Fermi-level density of states 0.6578 states/eV/atom. Number 6: Fermi-level density of states 0.2112 states/eV/atom. Number 7: Fermi-level density of states 0.4984 states/eV/atom. Number 8: Fermi-level density of states 0.4342 states/eV/atom. Number 9: Fermi-level density of states 1.5472 states/eV/atom. Number 10: Fermi-level density of states 1.1716 states/eV/atom. Number 11: Fermi-level density of states 1.1745 states/eV/atom. Number 12: Fermi-level density of states 0.3438 states/eV/atom.